Entry from the Alexandria database: a relaxed NaZnIO2 crystal (PBE).

Cell and atoms, written as CIF:
```
data_NaZnIO2
_chemical_formula_sum 'Na1 Zn1 I1 O2'
_symmetry_space_group_name_H-M 'P 4/m m m'
_symmetry_Int_Tables_number 123
_symmetry_space_group_name_Hall '-P 4 2'
_cell_length_a 4.2211
_cell_length_b 4.2211
_cell_length_c 6.1596
_cell_angle_alpha 90.00
_cell_angle_beta 90.00
_cell_angle_gamma 90.00
loop_
_atom_site_label
_atom_site_type_symbol
_atom_site_fract_x
_atom_site_fract_y
_atom_site_fract_z
Na1 Na 0.0000 0.0000 0.0000
Zn1 Zn 0.5000 0.5000 0.5000
I1 I 0.0000 0.0000 0.5000
O1 O 0.0000 0.5000 0.0000
```

Computed properties:
As for the energy above the most stable polymorph in this dataset: 0.8685 eV per atom. The calculation puts the total energy at -11.71 eV per cell. The formation energy without anion corrections is 45.4 kJ per mole of atoms. Its total magnetization is 0.3 μB/f.u.